Entry 1:
The following is a DFT calculation (PBE) of a relaxed Ca2ZrScGe crystal.

```
Ca2ZrScGe
1.0
-4.3347 -3.7508 0.4070
2.9697 -3.1726 2.3907
-1.5476 2.3331 5.0186
Sc Ge Ca Zr
1 1 2 1
Cartesian
0.0000 0.0000 0.0000 Sc
-1.4563 -2.2952 3.9081 Ge
-0.7738 1.1665 2.5093 Ca
-2.1674 -1.8754 0.2035 Ca
1.4849 -1.5863 1.1954 Zr
```

Values from the calculation:
Spin magnetization = 0.0 Bohr magnetons per cell
Mass density = 2.930 g/cm³
E_form = 4.804 eV per formula unit

---

Entry 2:
The following is a DFT calculation (PBE) of a relaxed Th2Ni3C crystal.

```
Th2Ni3C
1.0
5.4579 0.2590 0.0000
-0.0778 5.4635 0.0000
-2.6900 -2.8613 6.7169
Th Ni C
4 6 2
Cartesian
2.7289 0.1295 3.3584 Th
4.0944 1.5410 0.0000 Th
-0.0389 2.7317 3.3584 Th
1.2857 4.1815 0.0000 Th
3.8897 4.1372 1.2409 Ni
1.1996 1.2760 5.4760 Ni
-1.1996 -1.2760 5.4760 Ni
1.4904 1.5853 1.2409 Ni
0.0000 0.0000 2.4722 Ni
2.6900 2.8613 4.2447 Ni
2.6900 2.8613 2.2337 C
0.0000 0.0000 4.4832 C
```

Values from the calculation:
Spin magnetization = 0.0 Bohr magnetons per cell
Mass density = 10.806 g/cm³
E_form = -1.760 eV per formula unit

---

Entry 3:
The following is a DFT calculation (PBE) of a relaxed LaPmEr3Tm crystal.

```
LaPmEr3Tm
1.0
5.6277 0.0000 0.0000
-2.8139 9.6348 1.5840
0.0000 -1.2497 7.0257
La Pm Er Tm
2 2 6 2
Cartesian
0.0000 5.6307 7.9253 La
2.8139 2.7545 0.6844 La
0.0000 0.6442 2.0702 Pm
2.8139 7.7409 6.5396 Pm
2.8139 6.1204 2.9867 Er
2.8139 4.4400 6.2016 Er
0.0000 8.8361 3.3981 Er
0.0000 3.9452 2.4082 Er
2.8139 -0.4509 5.2116 Er
0.0000 2.2648 5.6230 Er
2.8139 2.3441 3.6912 Tm
0.0000 6.0410 4.9186 Tm
```

Values from the calculation:
Spin magnetization = 0.0 Bohr magnetons per cell
Mass density = 8.086 g/cm³
E_form = 1.205 eV per formula unit

---

Entry 4:
The following is a DFT calculation (PBE) of a relaxed B2MoAs crystal.

```
B2MoAs
1.0
5.0422 0.0000 0.0000
0.0000 5.0422 0.0000
2.5211 2.5211 4.5211
Mo B As
2 4 2
Cartesian
0.0000 0.0000 0.0000 Mo
5.0422 2.5211 2.2606 Mo
3.7445 1.2605 1.1303 B
1.2976 3.7816 1.1303 B
3.7816 3.8187 3.3908 B
6.3027 6.2656 3.3908 B
2.5211 2.5211 0.0000 As
2.5211 5.0422 2.2606 As
```

Values from the calculation:
Spin magnetization = 0.0 Bohr magnetons per cell
Mass density = 5.562 g/cm³
E_form = 2.814 eV per formula unit

---

Entry 5:
The following is a DFT calculation (PBE) of a relaxed Nb4IrC crystal.

```
Nb4IrC
1.0
5.3233 0.0000 0.0000
0.0000 5.7755 0.2041
-2.6616 -2.0683 6.0743
Nb Ir C
8 2 2
Cartesian
0.5191 0.0150 2.3263 Nb
-0.5191 2.9028 2.4283 Nb
3.1739 5.1910 1.3258 Nb
2.1493 2.3033 1.2238 Nb
-0.5123 -1.4838 4.9526 Nb
0.5123 1.4040 5.0546 Nb
2.1425 3.6923 3.9521 Nb
3.1807 0.8045 3.8501 Nb
0.4923 4.3316 0.1531 Ir
4.8309 1.4439 0.0510 Ir
1.3308 1.8536 3.1392 C
-1.3308 -1.0341 3.0371 C
```

Values from the calculation:
Spin magnetization = 0.0 Bohr magnetons per cell
Mass density = 10.119 g/cm³
E_form = -1.748 eV per formula unit

---

Entry 6:
The following is a DFT calculation (PBE) of a relaxed CsSrZn2H6 crystal.

```
CsSrZn2H6
1.0
7.2831 0.4430 0.3873
-0.4520 7.2826 0.3873
-1.5991 -1.8084 6.1799
Cs Sr Zn H
2 2 4 12
Cartesian
0.2003 5.9002 1.9323 Cs
5.0318 0.0169 5.0223 Cs
3.8250 2.6952 1.9323 Sr
1.4071 3.2220 5.0223 Sr
1.0475 0.0373 5.2241 Zn
4.5237 3.9687 4.8204 Zn
4.1846 5.8798 1.7304 Zn
0.7083 1.9484 2.1342 Zn
6.4458 2.3528 1.9828 H
4.4856 0.1360 1.8818 H
-1.2137 3.5643 4.9718 H
0.7464 5.7811 5.0728 H
1.7792 1.5623 0.7776 H
4.6989 4.8643 3.0870 H
3.4529 4.3548 6.1770 H
0.5332 1.0529 3.8676 H
1.4502 3.3735 2.6172 H
2.8610 4.9690 1.2474 H
3.7819 2.5437 4.3374 H
2.3710 0.9481 5.7072 H
```

Values from the calculation:
Electronic total energy = -2.664 eV per atom
Spin magnetization = 0.0 Bohr magnetons per cell
Mass density = 3.505 g/cm³

---

Entry 7:
The following is a DFT calculation (PBE) of a relaxed NaMgGe2Se crystal.

```
NaMgGe2Se
1.0
-2.5909 2.7092 -3.2717
-3.8113 -3.9208 -0.2283
-2.4569 2.1704 3.7429
Na Ge Mg Se
1 2 1 1
Cartesian
-1.9057 -1.9604 -0.1142 Na
-1.2285 1.0852 1.8715 Ge
-1.2955 1.3546 -1.6359 Ge
0.0000 0.0000 0.0000 Mg
-4.4296 0.4794 0.1214 Se
```

Values from the calculation:
Spin magnetization = 0.0 Bohr magnetons per cell
Mass density = 3.328 g/cm³
Formation energy from raw total energies = 0.462 eV/atom

---

Entry 8:
The following is a DFT calculation (PBE) of a relaxed KY crystal.

```
KY
1.0
3.6686 0.0002 0.0000
-1.8353 3.1770 0.0000
0.0000 0.0000 7.1867
Y K
1 1
Cartesian
-0.0006 2.1181 1.7967 Y
1.8340 1.0591 5.3900 K
```

Values from the calculation:
Spin magnetization = 0.2 Bohr magnetons per cell
Mass density = 2.538 g/cm³
E_form = 0.994 eV per formula unit

---

Entry 9:
The following is a DFT calculation (PBE) of a relaxed TaZnW2 crystal.

```
TaZnW2
1.0
4.8809 0.0028 -0.0092
4.1352 2.5929 -0.0092
0.4845 0.1395 5.1946
Ta W Zn
1 2 1
Cartesian
2.3373 0.6729 1.3394 Ta
0.4887 0.1407 5.1576 W
7.1732 2.0651 3.8791 W
4.7362 1.3635 2.5826 Zn
```

Values from the calculation:
Spin magnetization = 0.0 Bohr magnetons per cell
Mass density = 15.521 g/cm³
E_form = 1.117 eV per formula unit

---

Entry 10:
The following is a DFT calculation (PBE) of a relaxed TlV2SiB crystal.

```
TlV2SiB
1.0
5.1629 0.0000 0.0000
0.0000 3.9863 0.0000
0.0000 0.0000 5.1629
Tl B Si V
1 1 1 2
Cartesian
0.0000 0.0000 0.0000 Tl
0.0000 1.9932 0.0000 B
2.5815 1.9932 2.5815 Si
0.0000 0.0000 2.5815 V
2.5815 0.0000 0.0000 V
```

Values from the calculation:
Spin magnetization = 5.2 Bohr magnetons per cell
Mass density = 5.394 g/cm³
Formation energy from raw total energies = 1.977 eV/atom